Entry 1:
VASP calculation (PBE) on a geometry-optimized KHfV2Se structure.

## Properties
E_form (uncorrected): 0.86 eV/atom
total DFT energy (no corrections): -5.70 eV/atom

Lattice parameters (Å, degrees): 4.8983 5.1054 4.8983 90.00 90.00 90.00
Fractional positions:
K1 0.5000 0.5000 0.5000
Hf1 0.0000 0.5000 0.0000
Se1 0.0000 0.0000 0.0000
V1 0.0000 0.0000 0.5000
V2 0.5000 0.0000 0.0000



Entry 2:
VASP calculation (PBE) on a geometry-optimized K3Y2HfSe6 structure.

## Properties
E_form (uncorrected): -1.59 eV/atom
total DFT energy (no corrections): -5.51 eV/atom

Lattice parameters (Å, degrees): 7.1033 7.1033 8.0672 98.46 98.46 120.01
Fractional positions:
K1 0.1707 0.8293 0.5000
K2 0.8293 0.1707 0.5000
K3 0.5000 0.5000 0.5000
Y1 0.3338 0.6662 0.0000
Y2 0.6662 0.3338 0.0000
Hf1 0.0000 0.0000 0.0000
Se1 0.9320 0.6148 0.7961
Se2 0.7517 0.7517 0.2049
Se3 0.0680 0.3852 0.2039
Se4 0.6148 0.9320 0.7961
Se5 0.2483 0.2483 0.7951
Se6 0.3852 0.0680 0.2039



Entry 3:
VASP calculation (PBE) on a geometry-optimized K3Y3HfSe8 structure.

## Properties
E_form (uncorrected): -1.69 eV/atom
total DFT energy (no corrections): -5.72 eV/atom

Lattice parameters (Å, degrees): 8.2310 8.2303 9.1720 116.66 90.00 120.00
Fractional positions:
K1 0.0000 0.0000 0.0000
K2 0.0000 0.5000 0.0000
K3 0.5000 0.5000 0.0000
Y1 0.5000 0.0000 0.5000
Y2 0.5000 0.5000 0.5000
Y3 0.0000 0.5000 0.5000
Hf1 0.0000 0.0000 0.5000
Se1 0.2649 0.5297 0.2947
Se2 0.7351 0.4703 0.7053
Se3 0.7767 0.5534 0.3036
Se4 0.2233 0.4466 0.6964
Se5 0.7767 0.0268 0.3036
Se6 0.2233 0.9732 0.6964
Se7 0.2501 0.0268 0.3036
Se8 0.7499 0.9732 0.6964



Entry 4:
VASP calculation (PBE) on a geometry-optimized K3HfZr2Se6 structure.

## Properties
E_form (uncorrected): -1.32 eV/atom
total DFT energy (no corrections): -5.59 eV/atom

Lattice parameters (Å, degrees): 6.7566 6.7566 8.1263 97.97 97.97 119.99
Fractional positions:
K1 0.1687 0.8313 0.5000
K2 0.8313 0.1687 0.5000
K3 0.5000 0.5000 0.5000
Hf1 0.0000 0.0000 0.0000
Zr1 0.3339 0.6661 0.0000
Zr2 0.6661 0.3339 0.0000
Se1 0.9325 0.6040 0.7969
Se2 0.7400 0.7400 0.2040
Se3 0.0675 0.3960 0.2031
Se4 0.6040 0.9325 0.7969
Se5 0.2600 0.2600 0.7960
Se6 0.3960 0.0675 0.2031



Entry 5:
VASP calculation (PBE) on a geometry-optimized K2HfZr2Se6 structure.

## Properties
E_form (uncorrected): -1.39 eV/atom
total DFT energy (no corrections): -5.95 eV/atom

Lattice parameters (Å, degrees): 6.6298 6.6298 8.3264 97.79 97.79 119.99
Fractional positions:
K1 0.8322 0.1678 0.0000
K2 0.1678 0.8322 0.0000
Hf1 0.0000 0.0000 0.5000
Zr1 0.3322 0.6678 0.5000
Zr2 0.6678 0.3322 0.5000
Se1 0.7368 0.7368 0.6996
Se2 0.0715 0.3970 0.7008
Se3 0.2632 0.2632 0.3004
Se4 0.3970 0.0715 0.7008
Se5 0.9285 0.6030 0.2992
Se6 0.6030 0.9285 0.2992



Entry 6:
VASP calculation (PBE) on a geometry-optimized K3HfZr3Se8 structure.

## Properties
E_form (uncorrected): -1.37 eV/atom
total DFT energy (no corrections): -5.82 eV/atom

Lattice parameters (Å, degrees): 7.6966 7.6890 9.1350 114.81 90.00 120.03
Fractional positions:
K1 0.0000 0.0000 0.0000
K2 0.0000 0.5000 0.0000
K3 0.5000 0.5000 0.0000
Hf1 0.0000 0.0000 0.5000
Zr1 0.5000 0.0000 0.5000
Zr2 0.5000 0.5000 0.5000
Zr3 0.0000 0.5000 0.5000
Se1 0.2652 0.5304 0.2960
Se2 0.7348 0.4696 0.7040
Se3 0.7676 0.5353 0.3000
Se4 0.2324 0.4647 0.7000
Se5 0.7678 0.0319 0.2999
Se6 0.2322 0.9681 0.7001
Se7 0.2642 0.0320 0.2999
Se8 0.7358 0.9680 0.7001